*w*
Density functional theory data (PBE) for a relaxed BaSe5 crystal.

Computed properties:
Magnetic moment (μB/atom): 0.00

Cell: 5.6025 5.6025 7.3296 Å, 95.24 95.24 60.23°
Last column: nearest neighbours and their distance in Å.
Atoms (fractional coordinates):
Ba (0.0000, 0.0000, 0.0000)  8 Se 3.35-3.51
Se (0.0038, 0.0038, 0.4630)  1 Se 2.34
Se (0.2440, 0.2440, 0.4553)  2 Se 2.34-2.47
Se (0.3413, 0.3413, 0.7803)  2 Se 2.47-2.52
Se (0.6026, 0.6026, 0.8068)  2 Se 2.39-2.52
Se (0.6787, 0.6787, 0.1282)  1 Se 2.39

***

*x*
Density functional theory data (PBE) for a relaxed BaSe5 crystal.

Computed properties:
Magnetic moment (μB/atom): 0.00

Cell: 6.6630 6.6630 4.1337 Å, 90.00 90.00 120.00°
Last column: nearest neighbours and their distance in Å.
Atoms (fractional coordinates):
Ba (0.0000, 0.0000, 0.0000)  12 Se 3.44-3.85
Se (0.0000, 0.5867, 0.5000)  4 Se 2.88
Se (0.3333, 0.6667, 0.0000)  6 Se 2.88
Se (0.4133, 0.4133, 0.5000)  4 Se 2.88
Se (0.5867, 0.0000, 0.5000)  4 Se 2.88
Se (0.6667, 0.3333, 0.0000)  6 Se 2.88

***

Energies, relative to the best one, in eV/atom: *w* 0.000; *x* 0.185.

***

*w*
Density functional theory data (PBE) for a relaxed Ba5Se4 crystal.

Computed properties:
Magnetic moment (μB/atom): 0.17

Cell: 9.6599 9.6599 8.0330 Å, 90.00 90.00 120.00°
Last column: nearest neighbours and their distance in Å.
Atoms (fractional coordinates):
Ba (0.0000, 0.2542, 0.2500)  5 Se 3.17-3.39
Ba (0.0000, 0.7458, 0.7500)  5 Se 3.17-3.39
Ba (0.2542, 0.0000, 0.2500)  5 Se 3.17-3.39
Ba (0.2542, 0.2542, 0.7500)  5 Se 3.17-3.39
Ba (0.3333, 0.6667, 0.0000)  6 Se 3.57
Ba (0.3333, 0.6667, 0.5000)  6 Se 3.57
Ba (0.6667, 0.3333, 0.0000)  6 Se 3.57
Ba (0.6667, 0.3333, 0.5000)  6 Se 3.57
Ba (0.7458, 0.0000, 0.7500)  5 Se 3.17-3.39
Ba (0.7458, 0.7458, 0.2500)  5 Se 3.17-3.39
Se (0.0000, 0.0000, 0.0000)  6 Ba 3.17
Se (0.0000, 0.0000, 0.5000)  6 Ba 3.17
Se (0.0000, 0.4003, 0.7500)  7 Ba 3.34-3.57
Se (0.0000, 0.5997, 0.2500)  7 Ba 3.34-3.57
Se (0.4003, 0.0000, 0.7500)  7 Ba 3.34-3.57
Se (0.4003, 0.4003, 0.2500)  7 Ba 3.34-3.57
Se (0.5997, 0.0000, 0.2500)  7 Ba 3.34-3.57
Se (0.5997, 0.5997, 0.7500)  7 Ba 3.34-3.57

***

*x*
Density functional theory data (PBE) for a relaxed Ba5Se4 crystal.

Computed properties:
Magnetic moment (μB/atom): 0.13

Cell: 11.8434 11.8434 11.8434 Å, 92.02 92.02 158.36°
Last column: nearest neighbours and their distance in Å.
Atoms (fractional coordinates):
Ba (0.0000, 0.0000, 0.0000)  4 Se 3.13
Ba (0.3550, 0.3550, 0.7099)  4 Se 3.35
Ba (0.3550, 0.6450, 0.0000)  4 Se 3.35
Ba (0.6450, 0.3550, 0.0000)  4 Se 3.35
Ba (0.6450, 0.6450, 0.2901)  4 Se 3.35
Se (0.0000, 0.1903, 0.1903)  5 Ba 3.13-3.35
Se (0.0000, 0.8097, 0.8097)  5 Ba 3.13-3.35
Se (0.1903, 0.0000, 0.1903)  5 Ba 3.13-3.35
Se (0.8097, 0.0000, 0.8097)  5 Ba 3.13-3.35

***

*y*
Density functional theory data (PBE) for a relaxed Ba5Se4 crystal.

Computed properties:
Magnetic moment (μB/atom): 0.09

Cell: 9.5145 9.5145 9.5145 Å, 93.32 93.32 152.14°
Last column: nearest neighbours and their distance in Å.
Atoms (fractional coordinates):
Ba (0.0000, 0.0000, 0.0000)  4 Se 3.15
Ba (0.2486, 0.5841, 0.8326)  5 Se 3.20-3.45
Ba (0.4159, 0.2486, 0.6645)  5 Se 3.20-3.45
Ba (0.5841, 0.7514, 0.3355)  5 Se 3.20-3.45
Ba (0.7514, 0.4159, 0.1674)  5 Se 3.20-3.45
Se (0.1057, 0.7828, 0.8884)  6 Ba 3.15-3.45
Se (0.2172, 0.1057, 0.3229)  6 Ba 3.15-3.45
Se (0.7828, 0.8943, 0.6771)  6 Ba 3.15-3.45
Se (0.8943, 0.2172, 0.1116)  6 Ba 3.15-3.45

***

Energies, relative to the best one, in eV/atom: *w* 0.078; *x* 0.268; *y* 0.000.

***

*w*
Density functional theory data (PBE) for a relaxed Ba4Se crystal.

Computed properties:
Magnetic moment (μB/atom): 0.00

Cell: 6.5579 6.5579 6.5579 Å, 90.00 90.00 90.00°
Last column: nearest neighbours and their distance in Å.
Atoms (fractional coordinates):
Ba (0.0000, 0.0000, 0.0000)  12 Ba 4.64
Ba (0.0000, 0.5000, 0.5000)  2 Se 3.28
Ba (0.5000, 0.0000, 0.5000)  2 Se 3.28
Ba (0.5000, 0.5000, 0.0000)  2 Se 3.28
Se (0.5000, 0.5000, 0.5000)  6 Ba 3.28

***

*x*
Density functional theory data (PBE) for a relaxed Ba4Se crystal.

Computed properties:
Magnetic moment (μB/atom): 0.00

Cell: 6.8365 6.8365 6.8365 Å, 109.47 109.47 109.47°
Last column: nearest neighbours and their distance in Å.
Atoms (fractional coordinates):
Ba (0.0000, 0.0000, 0.5000)  2 Se 3.42
Ba (0.0000, 0.5000, 0.0000)  2 Se 3.42
Ba (0.5000, 0.0000, 0.0000)  2 Se 3.42
Ba (0.5000, 0.5000, 0.5000)  2 Se 3.42
Se (0.0000, 0.0000, 0.0000)  8 Ba 3.42

***

Energies, relative to the best one, in eV/atom: *w* 0.000; *x* 0.135.